Computed, not measured: a relaxed structure of NaAc2CoO6 at the PBE+U level of DFT.

abc: 4.332 5.634 5.634
angles: 90.00 90.00 90.00
Element x y z (fractional)
O  0.121  0.500  0.500
O  0.691  0.225  0.225
O  0.691  0.775  0.775
O  0.691  0.225  0.775
O  0.691  0.775  0.225
O  0.204  0.000  0.000
Na  0.611  0.500  0.500
Ac  0.067  0.500  0.000
Ac  0.067  0.000  0.500
Co  0.611  0.000  0.000

## Properties
total magnetization = 2.0 μB per cell
V = 13.75 Å³/atom
E_tot = -6.50 eV/atom
DOS at the Fermi energy = 3.11 states/eV/cell